Compound: ZnP2ClF
Source: Alexandria via LeMat-Bulk
Functional: PBE-GGA
Structure: relaxed

Lattice parameters (Å, degrees): 4.0817 4.0817 5.7327 90.00 90.00 90.00
Space group P4/mmm (No. 123)
One atom of each set of equivalent atoms:
Zn (0.0000, 0.0000, 0.0000)
P (0.0000, 0.5000, 0.5000)
Cl (0.5000, 0.5000, 0.0000)
F (0.5000, 0.5000, 0.5000)

- E_form (uncorrected) (eV/atom) = 0.4574
- total magnetization (μB per formula unit) = 0.7
- V (Å³/cell) = 95.5
- DOS at the Fermi energy (states/eV/cell) = 3.04
- calculated total energy (eV/atom) = -2.705